First-principles (GGA-PBE) data for crystalline TbTm8Cd2 at its relaxed geometry, as listed in Alexandria.

For the formation enthalpy at 0 K, the calculation gives 47 meV/atom.

The space group is C2/m (No. 12) and the conventional cell measures 8.711, 14.854 and 5.475 Å, with angles of 90.00, 112.10 and 90.00 degrees. The distinct sites, in fractional coordinates, are Tb at (0.000, 0.000, 0.000), Tm at (0.000, 0.221, 0.000), Tm at (0.101, 0.500, 0.799), Tm at (0.207, 0.113, 0.615) and Cd at (0.000, 0.307, 0.500).